Entry 1:
Compound: BOs2Cl
Source: the Alexandria database
Functional: GGA-PBE
Structure: relaxed

Lattice parameters (Å, degrees): 4.9985 4.9985 9.9993 90.00 90.00 90.00
Closest atoms and distances in Å follow each position.
Space group I-42d (No. 122)
Asymmetric unit:
B: 0.0000 0.0000 0.0000  4 Os 2.04
Os: 0.2024 0.2500 0.1250  2 B 2.04
Cl: 0.0000 0.0000 0.5000  4 Os 2.31

Computed properties:
For the uncorrected formation energy, the calculation gives 4.172 eV/f.u. Its density of states at the Fermi level is 2.91 states/eV/f.u. For the magnetic moment, the calculation gives 0.000 μB/atom. For the calculated total energy, the calculation gives -6.703 eV/atom.

=====

Entry 2:
Compound: BP2OsCl
Source: the Alexandria database
Functional: GGA-PBE
Structure: relaxed

Lattice parameters (Å, degrees): 4.4980 4.4980 5.2194 90.00 90.00 90.00
Closest atoms and distances in Å follow each position.
Space group P4/mmm (No. 123)
Asymmetric unit:
B: 0.0000 0.0000 0.0000  4 Cl 3.18, 8 P 3.45
P: 0.0000 0.5000 0.5000  2 Os 2.25
Os: 0.5000 0.5000 0.5000  4 P 2.25
Cl: 0.5000 0.5000 0.0000  2 Os 2.61

Computed properties:
For the uncorrected formation energy, the calculation gives 6.574 eV/f.u. Its density of states at the Fermi level is 4.14 states/eV/f.u. For the magnetic moment, the calculation gives 0.000 μB/atom. For the calculated total energy, the calculation gives -4.800 eV/atom.

=====

Entry 3:
Compound: BPOsCl2
Source: the Alexandria database
Functional: GGA-PBE
Structure: relaxed

Lattice parameters (Å, degrees): 4.0513 4.0513 4.7426 90.00 90.00 90.00
Closest atoms and distances in Å follow each position.
Space group P4/mmm (No. 123)
Asymmetric unit:
B: 0.0000 0.0000 0.0000  4 Cl 2.03
P: 0.0000 0.0000 0.5000  2 B 2.37
Os: 0.5000 0.5000 0.5000  4 P 2.86, 8 Cl 3.12
Cl: 0.0000 0.5000 0.0000  2 B 2.03

Computed properties:
For the uncorrected formation energy, the calculation gives 7.110 eV/f.u. Its density of states at the Fermi level is 3.76 states/eV/f.u. For the magnetic moment, the calculation gives 0.577 μB/atom. For the calculated total energy, the calculation gives -3.980 eV/atom.